Entry 1:
This record from Alexandria via LeMat-Bulk describes an optimized crystal structure of Mn4Al. The functional is PBE.

Cell and atoms, written as POSCAR:
```
Mn4Al
1.0
-2.8369 2.8369 2.8369
2.8369 -2.8369 2.8369
2.8369 2.8369 -2.8369
Mn Al
4 1
direct
0.0000 0.0000 0.5000 Mn
0.0000 0.5000 0.0000 Mn
0.5000 0.0000 0.0000 Mn
0.5000 0.5000 0.5000 Mn
0.0000 0.0000 0.0000 Al
```

Its space-group type is Im-3m (229). Its formation energy from the elements is 995 meV per atom. The calculation puts the density of states at the Fermi level at 1.350 states/eV/atom.

Entry 2:
This record from Alexandria via LeMat-Bulk describes an optimized crystal structure of MnAl2. The functional is PBE.

Cell and atoms, written as POSCAR:
```
MnAl2
1.0
2.7726 0.0000 0.0000
-1.3863 2.4011 0.0000
0.0000 0.0000 6.4031
Mn Al
1 2
direct
0.0000 0.0000 0.0000 Mn
0.3333 0.6667 0.3147 Al
0.6667 0.3333 0.6853 Al
```

Its space-group type is P-3m1 (164). Its formation energy from the elements is -90 meV per atom. The calculation puts the density of states at the Fermi level at 0.408 states/eV/atom.

Entry 3:
This record from Alexandria via LeMat-Bulk describes an optimized crystal structure of Mn4Al. The functional is PBE.

Cell and atoms, written as POSCAR:
```
Mn4Al
1.0
-2.7468 2.7468 1.8890
2.7468 -2.7468 1.8890
2.7468 2.7468 -1.8890
Mn Al
4 1
direct
0.0799 0.7016 0.7815 Mn
0.2984 0.0799 0.3783 Mn
0.7016 0.9201 0.6217 Mn
0.9201 0.2984 0.2185 Mn
0.5000 0.5000 0.0000 Al
```

Its space-group type is I4/m (87). Its formation energy from the elements is 12 meV per atom. The calculation puts the density of states at the Fermi level at 1.366 states/eV/atom.